Entry 1:
# Tb3PmC, optimized geometry, DFT PBE-GGA
data_Tb3PmC
_chemical_formula_sum 'Tb3 Pm1 C1'
_space_group_name_H-M_alt 'P m -3 m'
_space_group_IT_number 221
_space_group_name_Hall '-P 4 2 3'
_cell_length_a 5.091
_cell_length_b 5.091
_cell_length_c 5.091
_cell_angle_alpha 90.00
_cell_angle_beta 90.00
_cell_angle_gamma 90.00
loop_
_atom_site_label
_atom_site_fract_x
_atom_site_fract_y
_atom_site_fract_z
Tb1 0.000 0.000 0.500
Pm1 0.500 0.500 0.500
C1 0.000 0.000 0.000
# Raw total energy: -5.57 eV/atom
# Density of states at the Fermi level: 5.393 states/eV/f.u.
# V: 131.9 Å³/f.u.
# Mass density: 7.977 g/cm3

***

Entry 2:
# TbPm2C, optimized geometry, DFT PBE-GGA
data_TbPm2C
_chemical_formula_sum 'Tb2 Pm4 C2'
_space_group_name_H-M_alt 'I m m m'
_space_group_IT_number 71
_space_group_name_Hall '-I 2 2'
_cell_length_a 3.666
_cell_length_b 5.033
_cell_length_c 11.874
_cell_angle_alpha 90.00
_cell_angle_beta 90.00
_cell_angle_gamma 90.00
loop_
_atom_site_label
_atom_site_fract_x
_atom_site_fract_y
_atom_site_fract_z
Tb1 0.000 0.000 0.000
Pm1 0.000 0.000 0.353
C1 0.000 0.500 0.000
# Raw total energy: -5.90 eV/atom
# Density of states at the Fermi level: 5.268 states/eV/f.u.
# V: 109.6 Å³/f.u.
# Energy above the most stable polymorph in this dataset: 0.0 kJ/mol of atoms
# Mass density: 6.987 g/cm3

***

Entry 3:
# Tb8PmC4, optimized geometry, DFT PBE-GGA
data_Tb8PmC4
_chemical_formula_sum 'Tb16 Pm2 C8'
_space_group_name_H-M_alt 'C 1 2/m 1'
_space_group_IT_number 12
_space_group_name_Hall '-C 2y'
_cell_length_a 18.189
_cell_length_b 3.617
_cell_length_c 12.515
_cell_angle_alpha 90.00
_cell_angle_beta 132.18
_cell_angle_gamma 90.00
loop_
_atom_site_label
_atom_site_fract_x
_atom_site_fract_y
_atom_site_fract_z
Tb1 0.041 0.000 0.232
Tb2 0.139 0.500 0.098
Tb3 0.165 0.500 0.848
Tb4 0.207 0.500 0.565
Pm1 0.000 0.000 0.500
C1 0.149 0.000 0.969
C2 0.167 0.500 0.326
# Raw total energy: -6.21 eV/atom
# Density of states at the Fermi level: 12.521 states/eV/f.u.
# V: 305.1 Å³/f.u.
# Mass density: 7.971 g/cm3

***

Entry 4:
# TbPm3C2, optimized geometry, DFT PBE-GGA
data_TbPm3C2
_chemical_formula_sum 'Tb4 Pm12 C8'
_space_group_name_H-M_alt 'C 1 2/m 1'
_space_group_IT_number 12
_space_group_name_Hall '-C 2y'
_cell_length_a 16.749
_cell_length_b 3.651
_cell_length_c 12.655
_cell_angle_alpha 90.00
_cell_angle_beta 129.29
_cell_angle_gamma 90.00
loop_
_atom_site_label
_atom_site_fract_x
_atom_site_fract_y
_atom_site_fract_z
Tb1 0.144 0.000 0.202
Pm1 0.141 0.500 0.950
Pm2 0.143 0.500 0.453
Pm3 0.144 0.000 0.703
C1 0.246 0.500 0.370
C2 0.247 0.000 0.124
# Raw total energy: -6.39 eV/atom
# Density of states at the Fermi level: 4.320 states/eV/f.u.
# V: 149.7 Å³/f.u.
# Mass density: 6.853 g/cm3

***

Entry 5:
# Tb2PmC3, optimized geometry, DFT PBE-GGA
data_Tb2PmC3
_chemical_formula_sum 'Tb8 Pm4 C12'
_space_group_name_H-M_alt 'I m m a'
_space_group_IT_number 74
_space_group_name_Hall '-I 2b 2'
_cell_length_a 5.756
_cell_length_b 10.436
_cell_length_c 7.583
_cell_angle_alpha 90.00
_cell_angle_beta 90.00
_cell_angle_gamma 90.00
loop_
_atom_site_label
_atom_site_fract_x
_atom_site_fract_y
_atom_site_fract_z
Tb1 0.000 0.077 0.167
Pm1 0.000 0.250 0.535
C1 0.118 0.000 0.500
C2 0.250 0.250 0.250
# Raw total energy: -6.99 eV/atom
# Density of states at the Fermi level: 3.126 states/eV/f.u.
# V: 113.9 Å³/f.u.
# Mass density: 7.274 g/cm3

***

Entry 6:
# Tb2PmC, optimized geometry, DFT PBE-GGA
data_Tb2PmC
_chemical_formula_sum 'Tb2 Pm1 C1'
_space_group_name_H-M_alt 'P -3 m 1'
_space_group_IT_number 164
_space_group_name_Hall '-P 3 2"'
_cell_length_a 3.6090
_cell_length_b 3.6090
_cell_length_c 9.2771
_cell_angle_alpha 90.00
_cell_angle_beta 90.00
_cell_angle_gamma 120.00
loop_
_atom_site_label
_atom_site_fract_x
_atom_site_fract_y
_atom_site_fract_z
Tb1 0.3333 0.6667 0.1471
Pm1 0.0000 0.0000 0.5000
C1 0.0000 0.0000 0.0000
# Raw total energy: -5.97 eV/atom
# Density of states at the Fermi level: 4.038 states/eV/f.u.
# V: 104.7 Å³/f.u.
# Energy above the most stable polymorph in this dataset: 0.0 kJ/mol of atoms
# Mass density: 7.535 g/cm3

***

Entry 7:
# Tb4Pm2C, optimized geometry, DFT PBE-GGA
data_Tb4Pm2C
_chemical_formula_sum 'Tb8 Pm4 C2'
_space_group_name_H-M_alt 'I 4/m m m'
_space_group_IT_number 139
_space_group_name_Hall '-I 4 2'
_cell_length_a 4.893
_cell_length_b 4.893
_cell_length_c 17.825
_cell_angle_alpha 90.00
_cell_angle_beta 90.00
_cell_angle_gamma 90.00
loop_
_atom_site_label
_atom_site_fract_x
_atom_site_fract_y
_atom_site_fract_z
Tb1 0.000 0.000 0.134
Tb2 0.000 0.500 0.000
Pm1 0.000 0.000 0.325
C1 0.000 0.000 0.000
# Raw total energy: -5.20 eV/atom
# Density of states at the Fermi level: 7.946 states/eV/f.u.
# V: 213.4 Å³/f.u.
# Energy above the most stable polymorph in this dataset: 20.7 kJ/mol of atoms
# Mass density: 7.296 g/cm3

***

Entry 8:
# TbPm2C, optimized geometry, DFT PBE-GGA
data_TbPm2C
_chemical_formula_sum 'Tb3 Pm6 C3'
_space_group_name_H-M_alt 'R -3 m'
_space_group_IT_number 166
_space_group_name_Hall '-R 3 2"'
_cell_length_a 5.9031
_cell_length_b 5.9031
_cell_length_c 11.4685
_cell_angle_alpha 90.00
_cell_angle_beta 90.00
_cell_angle_gamma 120.00
loop_
_atom_site_label
_atom_site_fract_x
_atom_site_fract_y
_atom_site_fract_z
Tb1 0.0000 0.0000 0.0000
Pm1 0.0000 0.0000 0.3018
C1 0.0000 0.0000 0.5000
# Raw total energy: -4.87 eV/atom
# Density of states at the Fermi level: 4.823 states/eV/f.u.
# V: 115.4 Å³/f.u.
# Energy above the most stable polymorph in this dataset: 99.1 kJ/mol of atoms
# Mass density: 6.635 g/cm3

***

Entry 9:
# Tb4Pm2C, optimized geometry, DFT PBE-GGA
data_Tb4Pm2C
_chemical_formula_sum 'Tb12 Pm6 C3'
_space_group_name_H-M_alt 'R -3 m'
_space_group_IT_number 166
_space_group_name_Hall '-R 3 2"'
_cell_length_a 3.6051
_cell_length_b 3.6051
_cell_length_c 54.3916
_cell_angle_alpha 90.00
_cell_angle_beta 90.00
_cell_angle_gamma 120.00
loop_
_atom_site_label
_atom_site_fract_x
_atom_site_fract_y
_atom_site_fract_z
Tb1 0.0000 0.0000 0.1401
Tb2 0.0000 0.0000 0.3584
Pm1 0.0000 0.0000 0.2454
C1 0.0000 0.0000 0.0000
# Raw total energy: -5.42 eV/atom
# Density of states at the Fermi level: 7.156 states/eV/f.u.
# V: 204.1 Å³/f.u.
# Energy above the most stable polymorph in this dataset: 0.0 kJ/mol of atoms
# Mass density: 7.630 g/cm3

***

Entry 10:
# TbPmTeC, optimized geometry, DFT PBE-GGA
data_TbPmTeC
_chemical_formula_sum 'Tb3 Pm3 Te3 C3'
_space_group_name_H-M_alt 'R 3 m'
_space_group_IT_number 160
_space_group_name_Hall 'R 3 -2"'
_cell_length_a 3.8814
_cell_length_b 3.8814
_cell_length_c 21.6808
_cell_angle_alpha 90.00
_cell_angle_beta 90.00
_cell_angle_gamma 120.00
loop_
_atom_site_label
_atom_site_fract_x
_atom_site_fract_y
_atom_site_fract_z
Tb1 0.0000 0.0000 0.0000
Pm1 0.0000 0.0000 0.7921
Te1 0.0000 0.0000 0.5655
C1 0.0000 0.0000 0.3940
# Raw total energy: -6.23 eV/atom
# Density of states at the Fermi level: 0.806 states/eV/f.u.
# Formation energy (no corrections): -792 meV per atom
# V: 94.3 Å³/f.u.
# Mass density: 7.811 g/cm3

***

Entry 11:
# PmTcC2, optimized geometry, DFT PBE-GGA
data_PmTcC2
_chemical_formula_sum 'Pm2 Tc2 C4'
_space_group_name_H-M_alt 'A m m 2'
_space_group_IT_number 38
_space_group_name_Hall 'A 2 -2'
_cell_length_a 4.026
_cell_length_b 4.839
_cell_length_c 6.077
_cell_angle_alpha 90.00
_cell_angle_beta 90.00
_cell_angle_gamma 90.00
loop_
_atom_site_label
_atom_site_fract_x
_atom_site_fract_y
_atom_site_fract_z
Pm1 0.000 0.000 0.000
Tc1 0.500 0.000 0.591
C1 0.500 0.148 0.264
# Raw total energy: -8.47 eV/atom
# Density of states at the Fermi level: 0.596 states/eV/f.u.
# V: 59.2 Å³/f.u.
# Energy above the most stable polymorph in this dataset: 0.0 kJ/mol of atoms
# Mass density: 7.490 g/cm3

***

Entry 12:
# Pm2TcC4, optimized geometry, DFT PBE-GGA
data_Pm2TcC4
_chemical_formula_sum 'Pm8 Tc4 C16'
_space_group_name_H-M_alt 'I b a m'
_space_group_IT_number 72
_space_group_name_Hall '-I 2 2c'
_cell_length_a 7.929
_cell_length_b 9.802
_cell_length_c 5.361
_cell_angle_alpha 90.00
_cell_angle_beta 90.00
_cell_angle_gamma 90.00
loop_
_atom_site_label
_atom_site_fract_x
_atom_site_fract_y
_atom_site_fract_z
Pm1 0.150 0.151 0.000
Tc1 0.000 0.500 0.250
C1 0.160 0.125 0.500
C2 0.179 0.424 0.000
# Raw total energy: -8.27 eV/atom
# Density of states at the Fermi level: 3.126 states/eV/f.u.
# V: 104.2 Å³/f.u.
# Mass density: 6.952 g/cm3

***

Entry 13:
# PmTc3C2, optimized geometry, DFT PBE-GGA
data_PmTc3C2
_chemical_formula_sum 'Pm4 Tc12 C8'
_space_group_name_H-M_alt 'C 1 2/m 1'
_space_group_IT_number 12
_space_group_name_Hall '-C 2y'
_cell_length_a 12.714
_cell_length_b 3.740
_cell_length_c 8.108
_cell_angle_alpha 90.00
_cell_angle_beta 116.52
_cell_angle_gamma 90.00
loop_
_atom_site_label
_atom_site_fract_x
_atom_site_fract_y
_atom_site_fract_z
Pm1 0.133 0.000 0.017
Tc1 0.058 0.000 0.389
Tc2 0.114 0.500 0.670
Tc3 0.213 0.500 0.377
C1 0.026 0.500 0.267
C2 0.208 0.000 0.782
# Raw total energy: -9.05 eV/atom
# Density of states at the Fermi level: 2.261 states/eV/f.u.
# V: 86.2 Å³/f.u.
# Mass density: 8.916 g/cm3

***

Entry 14:
# Pm3TcC3, optimized geometry, DFT PBE-GGA
data_Pm3TcC3
_chemical_formula_sum 'Pm9 Tc3 C9'
_space_group_name_H-M_alt 'R 3 m'
_space_group_IT_number 160
_space_group_name_Hall 'R 3 -2"'
_cell_length_a 8.9840
_cell_length_b 8.9840
_cell_length_c 5.2714
_cell_angle_alpha 90.00
_cell_angle_beta 90.00
_cell_angle_gamma 120.00
loop_
_atom_site_label
_atom_site_fract_x
_atom_site_fract_y
_atom_site_fract_z
Pm1 0.2003 0.4006 0.0000
Tc1 0.0000 0.0000 0.8451
C1 0.2102 0.4203 0.4815
# Raw total energy: -7.29 eV/atom
# Density of states at the Fermi level: 4.433 states/eV/f.u.
# V: 122.8 Å³/f.u.
# Energy above the most stable polymorph in this dataset: 38.8 kJ/mol of atoms
# Mass density: 7.693 g/cm3

***

Entry 15:
# PmTcC, optimized geometry, DFT PBE-GGA
data_PmTcC
_chemical_formula_sum 'Pm1 Tc1 C1'
_space_group_name_H-M_alt 'P -6 m 2'
_space_group_IT_number 187
_space_group_name_Hall 'P -6 2'
_cell_length_a 3.5360
_cell_length_b 3.5360
_cell_length_c 4.6504
_cell_angle_alpha 90.00
_cell_angle_beta 90.00
_cell_angle_gamma 120.00
loop_
_atom_site_label
_atom_site_fract_x
_atom_site_fract_y
_atom_site_fract_z
Pm1 0.0000 0.0000 0.0000
Tc1 0.6667 0.3333 0.5000
C1 0.3333 0.6667 0.5000
# Raw total energy: -8.07 eV/atom
# Density of states at the Fermi level: 1.597 states/eV/f.u.
# V: 50.4 Å³/f.u.
# Energy above the most stable polymorph in this dataset: 10.6 kJ/mol of atoms
# Mass density: 8.409 g/cm3

***

Entry 16:
# Pm3Tc4C4, optimized geometry, DFT PBE-GGA
data_Pm3Tc4C4
_chemical_formula_sum 'Pm6 Tc8 C8'
_space_group_name_H-M_alt 'I m m m'
_space_group_IT_number 71
_space_group_name_Hall '-I 2 2'
_cell_length_a 3.258
_cell_length_b 7.656
_cell_length_c 12.581
_cell_angle_alpha 90.00
_cell_angle_beta 90.00
_cell_angle_gamma 90.00
loop_
_atom_site_label
_atom_site_fract_x
_atom_site_fract_y
_atom_site_fract_z
Pm1 0.000 0.000 0.000
Pm2 0.000 0.500 0.108
Tc1 0.000 0.321 0.326
C1 0.000 0.000 0.215
C2 0.000 0.230 0.500
# Raw total energy: -8.17 eV/atom
# Density of states at the Fermi level: 6.701 states/eV/f.u.
# V: 156.9 Å³/f.u.
# Mass density: 9.261 g/cm3

***

Entry 17:
# PmTcC2, optimized geometry, DFT PBE-GGA
data_PmTcC2
_chemical_formula_sum 'Pm3 Tc3 C6'
_space_group_name_H-M_alt 'R -3 m'
_space_group_IT_number 166
_space_group_name_Hall '-R 3 2"'
_cell_length_a 3.2798
_cell_length_b 3.2798
_cell_length_c 16.8106
_cell_angle_alpha 90.00
_cell_angle_beta 90.00
_cell_angle_gamma 120.00
loop_
_atom_site_label
_atom_site_fract_x
_atom_site_fract_y
_atom_site_fract_z
Pm1 0.0000 0.0000 0.0000
Tc1 0.0000 0.0000 0.5000
C1 0.0000 0.0000 0.2338
# Raw total energy: -8.14 eV/atom
# Density of states at the Fermi level: 1.800 states/eV/f.u.
# V: 52.2 Å³/f.u.
# Energy above the most stable polymorph in this dataset: 31.7 kJ/mol of atoms
# Mass density: 8.494 g/cm3

***

Entry 18:
# PmTc2C, optimized geometry, DFT PBE-GGA
data_PmTc2C
_chemical_formula_sum 'Pm3 Tc6 C3'
_space_group_name_H-M_alt 'R -3 m'
_space_group_IT_number 166
_space_group_name_Hall '-R 3 2"'
_cell_length_a 3.9490
_cell_length_b 3.9490
_cell_length_c 16.3733
_cell_angle_alpha 90.00
_cell_angle_beta 90.00
_cell_angle_gamma 120.00
loop_
_atom_site_label
_atom_site_fract_x
_atom_site_fract_y
_atom_site_fract_z
Pm1 0.0000 0.0000 0.0000
Tc1 0.0000 0.0000 0.1896
C1 0.0000 0.0000 0.5000
# Raw total energy: -8.20 eV/atom
# Density of states at the Fermi level: 2.946 states/eV/f.u.
# V: 73.7 Å³/f.u.
# Energy above the most stable polymorph in this dataset: 29.8 kJ/mol of atoms
# Mass density: 7.953 g/cm3

***

Entry 19:
# PmTcC, optimized geometry, DFT PBE-GGA
data_PmTcC
_chemical_formula_sum 'Pm2 Tc2 C2'
_space_group_name_H-M_alt 'I 4 m m'
_space_group_IT_number 107
_space_group_name_Hall 'I 4 -2'
_cell_length_a 2.984
_cell_length_b 2.984
_cell_length_c 10.261
_cell_angle_alpha 90.00
_cell_angle_beta 90.00
_cell_angle_gamma 90.00
loop_
_atom_site_label
_atom_site_fract_x
_atom_site_fract_y
_atom_site_fract_z
Pm1 0.000 0.000 0.000
Tc1 0.000 0.000 0.276
C1 0.000 0.000 0.713
# Raw total energy: -7.74 eV/atom
# Density of states at the Fermi level: 3.499 states/eV/f.u.
# V: 45.7 Å³/f.u.
# Energy above the most stable polymorph in this dataset: 42.6 kJ/mol of atoms
# Mass density: 9.268 g/cm3

***

Entry 20:
# Pm2TcC2, optimized geometry, DFT PBE-GGA
data_Pm2TcC2
_chemical_formula_sum 'Pm8 Tc4 C8'
_space_group_name_H-M_alt 'P 1 21/c 1'
_space_group_IT_number 14
_space_group_name_Hall '-P 2ybc'
_cell_length_a 8.145
_cell_length_b 6.351
_cell_length_c 6.548
_cell_angle_alpha 90.00
_cell_angle_beta 99.73
_cell_angle_gamma 90.00
loop_
_atom_site_label
_atom_site_fract_x
_atom_site_fract_y
_atom_site_fract_z
Pm1 0.065 0.234 0.027
Pm2 0.317 0.605 0.887
Tc1 0.383 0.082 0.848
C1 0.161 0.562 0.231
C2 0.427 0.183 0.146
# Raw total energy: -7.77 eV/atom
# Density of states at the Fermi level: 2.557 states/eV/f.u.
# V: 83.5 Å³/f.u.
# Energy above the most stable polymorph in this dataset: 16.8 kJ/mol of atoms
# Mass density: 8.199 g/cm3